# InOsRh2 PBE optimized geometry
data_InOsRh2
_chemical_formula_sum 'In3 Os3 Rh6'
_space_group_name_H-M_alt 'R -3 m'
_space_group_IT_number 166
_space_group_name_Hall '-R 3 2"'
_cell_length_a 2.8457
_cell_length_b 2.8457
_cell_length_c 26.6869
_cell_angle_alpha 90.00
_cell_angle_beta 90.00
_cell_angle_gamma 120.00
loop_
_atom_site_label
_atom_site_type_symbol
_atom_site_fract_x
_atom_site_fract_y
_atom_site_fract_z
In1 In 0.0000 0.0000 0.0000
Os1 Os 0.0000 0.0000 0.5000
Rh1 Rh 0.0000 0.0000 0.2468
# energy relative to the elements: 113 meV per atom